No. 1
Material: CeCo2GeN
Method: DFT, PBE
State: relaxed

```
10
Lattice="1.816 -5.549 0.000 1.816 5.549 0.000 0.000 0.000 6.903" Properties=species:S:1:pos:R:3 pbc="T T T"
Ce 1.816 5.061 5.177
Ce 1.816 -5.061 1.726
Co 1.816 1.804 3.806
Co 1.816 1.804 6.548
Co 1.816 -1.804 0.355
Co 1.816 -1.804 3.097
Ge 1.816 3.001 1.726
Ge 1.816 -3.001 5.177
N 1.816 0.000 0.000
N 1.816 0.000 3.451
```

Values from the calculation:
Total magnetization = 1.22 μB/f.u.
Total energy = -7.342 eV/atom
Symmetry = Cmcm (63)

=====

No. 2
Material: CeCoGeN
Method: DFT, PBE
State: relaxed

```
8
Lattice="3.801 0.000 0.000 0.000 3.801 0.000 0.000 0.000 8.395" Properties=species:S:1:pos:R:3 pbc="T T T"
Ce 0.950 0.950 1.306
Ce 2.850 2.850 7.089
Co 0.950 2.850 4.198
Co 2.850 0.950 4.198
Ge 0.950 0.950 5.479
Ge 2.850 2.850 2.916
N 0.950 0.950 7.433
N 2.850 2.850 0.962
```

Values from the calculation:
Total magnetization = 0.35 μB/f.u.
Total energy = -7.323 eV/atom
Symmetry = P4/nmm (129)

=====

No. 3
Material: CeNdCoGe
Method: DFT, PBE
State: relaxed

```
8
Lattice="4.544 0.000 0.000 0.000 4.544 0.000 0.000 0.000 9.643" Properties=species:S:1:pos:R:3 pbc="T T T"
Ce 1.136 3.408 0.000
Ce 3.408 1.136 0.000
Nd 1.136 1.136 3.333
Nd 3.408 3.408 6.311
Co 1.136 1.136 8.504
Co 3.408 3.408 1.140
Ge 1.136 1.136 6.235
Ge 3.408 3.408 3.409
```

Values from the calculation:
DFT formation energy = -0.30 eV per atom
Total magnetization = 0.00 μB/f.u.
Symmetry = P4/nmm (129)